(1)
Density functional theory data (PBE) for a relaxed structure of Ce2UPd9.

## Properties
V = 216 Å³/f.u.
density of states at the Fermi level = 1.57 states/eV per atom
formation enthalpy at 0 K = -0.72 eV per atom
magnetization = 3.11 μB/f.u.

abc: 4.159 4.159 12.482
angles: 90.00 90.00 90.00
Space group P4/mmm (No. 123)
Asymmetric unit:
Ce (0.000, 0.000, 0.166) (multiplicity 2)
U (0.000, 0.000, 0.500) (multiplicity 1)
Pd (0.000, 0.500, 0.000) (multiplicity 2)
Pd (0.000, 0.500, 0.336) (multiplicity 4)
Pd (0.500, 0.500, 0.168) (multiplicity 2)
Pd (0.500, 0.500, 0.500) (multiplicity 1)

***

(2)
Density functional theory data (PBE) for a relaxed structure of Ce2UPd.

## Properties
V = 86 Å³/f.u.
density of states at the Fermi level = 2.11 states/eV per atom
formation enthalpy at 0 K = -0.19 eV per atom
magnetization = 0.45 μB/f.u.

abc: 5.279 5.279 3.100
angles: 90.00 90.00 90.00
Space group P4/mmm (No. 123)
Asymmetric unit:
Ce (0.000, 0.500, 0.000) (multiplicity 2)
U (0.000, 0.000, 0.500) (multiplicity 1)
Pd (0.500, 0.500, 0.500) (multiplicity 1)

***

(3)
Density functional theory data (PBE) for a relaxed structure of CeUPd6.

## Properties
V = 144 Å³/f.u.
density of states at the Fermi level = 1.71 states/eV per atom
formation enthalpy at 0 K = -0.66 eV per atom
magnetization = 2.64 μB/f.u.

abc: 4.157 4.157 8.318
angles: 90.00 90.00 90.00
Space group P4/mmm (No. 123)
Asymmetric unit:
Ce (0.000, 0.000, 0.000) (multiplicity 1)
U (0.000, 0.000, 0.500) (multiplicity 1)
Pd (0.000, 0.500, 0.253) (multiplicity 4)
Pd (0.500, 0.500, 0.000) (multiplicity 1)
Pd (0.500, 0.500, 0.500) (multiplicity 1)